Entry 1:
The following is a DFT calculation (GGA-PBE) of NpCoIr2 after structural relaxation.

POSCAR file:
```
NpCoIr2
1.0
3.992 0.000 0.000
0.000 3.992 0.000
0.000 0.000 3.960
Np Co Ir
1 1 2
Direct
0.000 0.000 0.000
0.500 0.500 0.000
0.000 0.500 0.500
0.500 0.000 0.500
```

## Properties
DOS at the Fermi energy in states/eV/f.u.: 7.231
ρ in g cm⁻³: 17.90
E_form in eV/atom: -0.278

---

Entry 2:
The following is a DFT calculation (GGA-PBE) of NpCo2Ir after structural relaxation.

POSCAR file:
```
NpCo2Ir
1.0
3.918 0.000 0.000
0.000 3.918 0.000
0.000 0.000 3.809
Np Co Ir
1 2 1
Direct
0.000 0.000 0.000
0.000 0.500 0.500
0.500 0.000 0.500
0.500 0.500 0.000
```

## Properties
DOS at the Fermi energy in states/eV/f.u.: 6.682
ρ in g cm⁻³: 15.54
E_form in eV/atom: -0.174